YNiHg PBE relaxed; energy of formation from the pure elements = -0.28 eV per atom
1.0
-0.685 -2.345 -3.849
3.560 -1.448 -2.451
0.994 -4.446 -0.169
Hg Y Ni
1 1 1
Direct
0.500 0.500 0.500
0.000 0.000 0.000
0.750 0.750 0.750

Tb6TmTl3 PBE relaxed; energy of formation from the pure elements = -0.19 eV per atom
1.0
-1.489 -3.793 -3.214
9.629 -3.548 -0.272
-4.498 -5.712 8.824
Tb Tl Tm
12 6 2
Direct
0.750 0.735 0.490
0.750 0.193 0.713
0.250 0.436 0.092
0.750 0.564 0.908
0.250 0.807 0.287
0.250 0.110 0.895
0.750 0.346 0.317
0.750 0.883 0.794
0.250 0.654 0.683
0.750 0.890 0.105
0.250 0.265 0.510
0.250 0.117 0.206
0.250 0.533 0.390
0.250 0.387 0.803
0.250 0.788 0.962
0.750 0.467 0.610
0.750 0.613 0.197
0.750 0.212 0.038
0.750 0.040 0.404
0.250 0.960 0.596

NaLa2BIr PBE relaxed; energy of formation from the pure elements = -0.20 eV per atom
1.0
5.506 0.000 0.000
0.000 5.506 0.000
0.000 0.000 4.074
La Na B Ir
2 1 1 1
Direct
0.500 0.000 0.000
0.000 0.500 0.000
0.500 0.500 0.500
0.000 0.000 0.000
0.000 0.000 0.500

Table of D(E_F) (states/eV per cell), in record order: 1.8 23.5 5.4
Table of spin magnetization (μB/f.u.), in record order: 0.00 0.00 0.00
Table of total energy (eV/atom), in record order: -4.465 -4.127 -5.541